Computed, not measured: a relaxed CaYMgCd crystal at the PBE level of DFT.

Unit cell a=3.849 b=3.849 c=7.613 alpha=90.00 beta=90.00 gamma=90.00
Fractional positions:
Cd1 0.500 0.500 0.121
Ca1 0.000 0.000 0.864
Mg1 0.500 0.500 0.594
Y1 0.000 0.000 0.349

Results
- ρ (g cm⁻³) = 3.9
- relative energy among the computed polymorphs (eV per formula unit) = 0.000
- N(E_F) (states/eV/cell) = 3.492
- energy relative to the elements (meV/atom) = -224
- spin magnetization (Bohr magnetons per cell) = 0.01
- E (eV per cell) = -11.87